Entry 1:
# DyScCuNi

An optimized crystal structure of DyScCuNi (GGA-PBE, the Alexandria database).

- Uncorrected energy: -22.142 eV per formula unit
- Fermi-level density of states: 2.95 states/eV per cell
- Excess energy over the best structure of this formula in the dataset: 0.0248 eV/atom
- V: 18.31 Å³ per atom

Structure (POSCAR):
```
DyScCuNi
1.0
4.697 0.000 0.000
2.348 4.067 0.000
2.348 1.356 3.835
Sc Ni Cu Dy
1 1 1 1
Cartesian
4.697 2.712 1.917
2.348 1.356 0.959
7.045 4.067 2.876
0.000 0.000 0.000
```

***

Entry 2:
# Ca2Pb2Br

An optimized crystal structure of Ca2Pb2Br (GGA-PBE, the Alexandria database).

- Uncorrected energy: -16.704 eV per formula unit
- Fermi-level density of states: 4.41 states/eV per cell
- ΔE_f (raw): -348 kJ/mol of formula units
- V: 32.81 Å³ per atom

Structure (POSCAR):
```
Ca2Pb2Br
1.0
-5.220 -6.118 -2.179
5.205 -2.268 -6.099
2.203 -2.938 2.972
Pb Ca Br
4 4 2
Cartesian
3.702 -3.630 -2.577
2.420 -7.268 -5.223
-1.515 -7.695 -2.730
-0.233 -4.057 -0.083
2.597 -3.846 -5.727
-0.776 -6.572 -5.922
-2.613 -4.541 -2.552
0.761 -1.814 -2.357
0.000 0.000 0.000
-0.008 -4.193 -4.139
```

***

Entry 3:
# Ce4Zn2In

An optimized crystal structure of Ce4Zn2In (GGA-PBE, the Alexandria database).

- Uncorrected energy: -29.455 eV per formula unit
- Fermi-level density of states: 19.27 states/eV per cell
- Excess energy over the best structure of this formula in the dataset: 0.1154 eV/atom
- V: 23.99 Å³ per atom

Structure (POSCAR):
```
Ce4Zn2In
1.0
5.238 0.000 0.000
2.619 4.536 0.000
2.619 1.512 7.068
Ce Zn In
4 2 1
Cartesian
5.238 3.024 5.369
2.619 1.512 1.435
7.857 4.536 5.632
5.238 3.024 1.698
2.619 1.512 4.314
7.857 4.536 2.753
0.000 0.000 0.000
```

***

Q: What is the formula in the first record?
A: DyScCuNi